Below is K2MnTeO4 after structural relaxation, with properties calculated at the GGA+U level.

abc: 6.8941 6.8941 7.1772
angles: 118.75 118.75 83.45
Closest atoms and distances in Å follow each position.
Positions (direct):
K 0.0000 0.0000 0.0000  4 O 2.63-2.65
K 0.0000 0.0000 0.5000  4 O 2.63-2.65
K 0.0000 0.5000 0.0000  4 O 2.64-2.68
K 0.5000 0.0000 0.5000  4 O 2.64-2.68
Mn 0.5000 0.5000 0.0000  4 O 1.99-2.02
Mn 0.5000 0.5000 0.5000  4 O 1.99-2.02
Te 0.0000 0.5000 0.5000  4 O 2.18-2.19
Te 0.5000 0.0000 0.0000  4 O 2.18-2.19
O 0.2348 0.6639 0.4769  1 Mn 2.02, 1 Te 2.19
O 0.2787 0.3366 0.6457  1 Mn 1.99, 1 Te 2.18
O 0.3361 0.7652 0.0231  1 Mn 2.02, 1 Te 2.19
O 0.3366 0.2787 0.1457  1 Mn 1.99, 1 Te 2.18
O 0.6634 0.7213 0.8543  1 Mn 1.99, 1 Te 2.18
O 0.6639 0.2348 0.9769  1 Mn 2.02, 1 Te 2.19
O 0.7213 0.6634 0.3543  1 Mn 1.99, 1 Te 2.18
O 0.7652 0.3361 0.5231  1 Mn 2.02, 1 Te 2.19

V (Å³ per atom): 16.197
ρ (Mg/m³): 4.16
Calculated total energy (eV/cell): -84.75
Total magnetization (μB per formula unit): 4.31
Density of states at the Fermi level (states/eV/cell): 3.9